Record 1
# BaTm2Cd

A relaxed BaTm2Cd crystal (PBE-GGA, Alexandria).

```
data_BaTm2Cd
_cell_length_a 3.5839
_cell_length_b 3.5839
_cell_length_c 36.1156
_cell_angle_alpha 90.00
_cell_angle_beta 90.00
_cell_angle_gamma 120.00
_space_group_name_H-M_alt 'R -3 m'
_space_group_IT_number 166
_space_group_name_Hall '-R 3 2"'
loop_
_atom_site_label
_atom_site_type_symbol
_atom_site_fract_x
_atom_site_fract_y
_atom_site_fract_z
_atom_site_occupancy
Ba1 Ba 0.0000 0.0000 0.0000 1
Tm1 Tm 0.0000 0.0000 0.0999 1
Cd1 Cd 0.0000 0.0000 0.5000 1
```

## Properties
Its total DFT energy (no corrections) is -2.76 eV/atom. For the density, the calculation gives 7.29 g cm⁻³. The total magnetization comes out at 0.2 μB per formula unit. For the density of states at the Fermi level, the calculation gives 4.4 states/eV/f.u. The value obtained for the formation energy is 0.18 eV/atom. Its crystal system is trigonal.

=====

Record 2
# Ba2SiPtI

A relaxed Ba2SiPtI crystal (PBE-GGA, Alexandria).

```
data_Ba2SiPtI
_cell_length_a 6.350
_cell_length_b 6.350
_cell_length_c 4.574
_cell_angle_alpha 90.00
_cell_angle_beta 90.00
_cell_angle_gamma 90.00
_space_group_name_H-M_alt 'P 4/m m m'
_space_group_IT_number 123
_space_group_name_Hall '-P 4 2'
loop_
_atom_site_label
_atom_site_type_symbol
_atom_site_fract_x
_atom_site_fract_y
_atom_site_fract_z
_atom_site_occupancy
Ba1 Ba 0.000 0.500 0.000 1
Si1 Si 0.000 0.000 0.500 1
Pt1 Pt 0.000 0.000 0.000 1
I1 I 0.500 0.500 0.500 1
```

## Properties
The distance to the lowest polymorph of the same formula is 0 meV/atom. Its total DFT energy (no corrections) is -4.33 eV/atom. The uncorrected formation energy is -4.8 eV/f.u. For the density, the calculation gives 5.63 g cm⁻³. The total magnetization comes out at 0.0 μB per formula unit. For the density of states at the Fermi level, the calculation gives 1.6 states/eV/f.u. Its crystal system is tetragonal.

=====

What is the total magnetization in the second record?
0.0 μB per formula unit

=====

What is the formula in the first record?
BaTm2Cd

=====

Which formula does entry 2 have?
Ba2SiPtI

=====

What is the formula in the second record?
Ba2SiPtI